*A*
TlMo2W: relaxed, PBE-GGA.

* symmetry: R-3m, No. 166
* volume: 218.1 Å³/cell

Cell: 3.0620 3.0620 26.8592 Å, 90.00 90.00 120.00°
Positions (direct):
Tl (0.0000, 0.0000, 0.0000)
Tl (0.3333, 0.6667, 0.6667)
Tl (0.6667, 0.3333, 0.3333)
Mo (0.0000, 0.0000, 0.2417)
Mo (0.0000, 0.0000, 0.7583)
Mo (0.3333, 0.6667, 0.4250)
Mo (0.3333, 0.6667, 0.9083)
Mo (0.6667, 0.3333, 0.0917)
Mo (0.6667, 0.3333, 0.5750)
W (0.0000, 0.0000, 0.5000)
W (0.3333, 0.6667, 0.1667)
W (0.6667, 0.3333, 0.8333)

***

*B*
TlMo2W: relaxed, PBE-GGA.

* symmetry: Fm-3m, No. 225
* volume: 277.3 Å³/cell

Cell: 6.5210 6.5210 6.5210 Å, 90.00 90.00 90.00°
Positions (direct):
Tl (0.0000, 0.0000, 0.0000)
Tl (0.0000, 0.5000, 0.5000)
Tl (0.5000, 0.0000, 0.5000)
Tl (0.5000, 0.5000, 0.0000)
Mo (0.2500, 0.2500, 0.2500)
Mo (0.2500, 0.2500, 0.7500)
Mo (0.2500, 0.7500, 0.2500)
Mo (0.2500, 0.7500, 0.7500)
Mo (0.7500, 0.2500, 0.2500)
Mo (0.7500, 0.2500, 0.7500)
Mo (0.7500, 0.7500, 0.2500)
Mo (0.7500, 0.7500, 0.7500)
W (0.0000, 0.0000, 0.5000)
W (0.0000, 0.5000, 0.0000)
W (0.5000, 0.0000, 0.0000)
W (0.5000, 0.5000, 0.5000)

***

Order of stability, best first: *A*, *B*

***

*A*
TlMo2W: relaxed, PBE-GGA.

* symmetry: C2/m, No. 12
* volume: 139.3 Å³/cell

Cell: 5.7013 9.1603 2.8122 Å, 90.00 108.44 90.00°
Positions (direct):
Tl (0.0000, 0.0000, 0.0000)
Tl (0.5000, 0.5000, 0.0000)
Mo (0.2500, 0.2500, 0.5000)
Mo (0.2500, 0.7500, 0.5000)
Mo (0.7500, 0.2500, 0.5000)
Mo (0.7500, 0.7500, 0.5000)
W (0.0000, 0.5000, 0.0000)
W (0.5000, 0.0000, 0.0000)

***

*B*
TlMo2W: relaxed, PBE-GGA.

* symmetry: Cmmm, No. 65
* volume: 142.3 Å³/cell

Cell: 3.2538 4.7320 9.2427 Å, 90.00 90.00 90.00°
Positions (direct):
Tl (0.0000, 0.0000, 0.0000)
Tl (0.5000, 0.5000, 0.0000)
Mo (0.0000, 0.5000, 0.2709)
Mo (0.0000, 0.5000, 0.7291)
Mo (0.5000, 0.0000, 0.2709)
Mo (0.5000, 0.0000, 0.7291)
W (0.0000, 0.0000, 0.5000)
W (0.5000, 0.5000, 0.5000)

***

*C*
TlMo2W: relaxed, PBE-GGA.

* symmetry: I-4m2, No. 119
* volume: 137.9 Å³/cell

Cell: 4.0421 4.0421 8.4402 Å, 90.00 90.00 90.00°
Positions (direct):
Tl (0.0000, 0.0000, 0.0000)
Tl (0.5000, 0.5000, 0.5000)
Mo (0.0000, 0.0000, 0.5000)
Mo (0.0000, 0.5000, 0.2500)
Mo (0.5000, 0.0000, 0.7500)
Mo (0.5000, 0.5000, 0.0000)
W (0.0000, 0.5000, 0.7500)
W (0.5000, 0.0000, 0.2500)

***

Order of stability, best first: *B*, *C*, *A*

***

*A*
TlMoW: relaxed, PBE-GGA.

* symmetry: Fmm2, No. 42
* volume: 227.4 Å³/cell

Cell: 3.1846 5.0012 14.2771 Å, 90.00 90.00 90.00°
Positions (direct):
Tl (0.0000, 0.0000, 0.0000)
Tl (0.0000, 0.5000, 0.5000)
Tl (0.5000, 0.0000, 0.5000)
Tl (0.5000, 0.5000, 0.0000)
Mo (0.0000, 0.0000, 0.3207)
Mo (0.0000, 0.5000, 0.8207)
Mo (0.5000, 0.0000, 0.8207)
Mo (0.5000, 0.5000, 0.3207)
W (0.0000, 0.0000, 0.6817)
W (0.0000, 0.5000, 0.1817)
W (0.5000, 0.0000, 0.1817)
W (0.5000, 0.5000, 0.6817)

***

*B*
TlMoW: relaxed, PBE-GGA.

* symmetry: F-43m, No. 216
* volume: 257.2 Å³/cell

Cell: 6.3591 6.3591 6.3591 Å, 90.00 90.00 90.00°
Positions (direct):
Tl (0.0000, 0.0000, 0.0000)
Tl (0.0000, 0.5000, 0.5000)
Tl (0.5000, 0.0000, 0.5000)
Tl (0.5000, 0.5000, 0.0000)
Mo (0.0000, 0.0000, 0.5000)
Mo (0.0000, 0.5000, 0.0000)
Mo (0.5000, 0.0000, 0.0000)
Mo (0.5000, 0.5000, 0.5000)
W (0.2500, 0.2500, 0.2500)
W (0.2500, 0.7500, 0.7500)
W (0.7500, 0.2500, 0.7500)
W (0.7500, 0.7500, 0.2500)

***

*C*
TlMoW: relaxed, PBE-GGA.

* symmetry: I4mm, No. 107
* volume: 109.5 Å³/cell

Cell: 3.3496 3.3496 9.7623 Å, 90.00 90.00 90.00°
Positions (direct):
Tl (0.0000, 0.0000, 0.0000)
Tl (0.5000, 0.5000, 0.5000)
Mo (0.0000, 0.0000, 0.6856)
Mo (0.5000, 0.5000, 0.1856)
W (0.0000, 0.0000, 0.3135)
W (0.5000, 0.5000, 0.8135)

***

*D*
TlMoW: relaxed, PBE-GGA.

* symmetry: Imm2, No. 44
* volume: 107.1 Å³/cell

Cell: 2.8419 4.3358 8.6936 Å, 90.00 90.00 90.00°
Positions (direct):
Tl (0.0000, 0.0000, 0.0000)
Tl (0.5000, 0.5000, 0.5000)
Mo (0.0000, 0.0000, 0.3308)
Mo (0.5000, 0.5000, 0.8308)
W (0.0000, 0.0000, 0.6697)
W (0.5000, 0.5000, 0.1697)

***

Order of stability, best first: *A*, *C*, *D*, *B*

***

*A*
YTlMo3: relaxed, PBE-GGA.

* symmetry: Pm-3m, No. 221
* volume: 116.5 Å³/cell

Cell: 4.8839 4.8839 4.8839 Å, 90.00 90.00 90.00°
Positions (direct):
Y (0.0000, 0.0000, 0.0000)
Tl (0.5000, 0.5000, 0.5000)
Mo (0.0000, 0.0000, 0.5000)
Mo (0.0000, 0.5000, 0.0000)
Mo (0.5000, 0.0000, 0.0000)

***

*B*
YTlMo3: relaxed, PBE-GGA.

* symmetry: Pm-3m, No. 221
* volume: 127.0 Å³/cell

Cell: 5.0263 5.0263 5.0263 Å, 90.00 90.00 90.00°
Positions (direct):
Y (0.0000, 0.0000, 0.0000)
Tl (0.5000, 0.5000, 0.5000)
Mo (0.0000, 0.5000, 0.5000)
Mo (0.5000, 0.0000, 0.5000)
Mo (0.5000, 0.5000, 0.0000)

***

Order of stability, best first: *B*, *A*

***

*A*
Y2TlMo: relaxed, PBE-GGA.

* symmetry: Amm2, No. 38
* volume: 198.4 Å³/cell

Cell: 5.0904 3.3648 11.5839 Å, 90.00 90.00 90.00°
Positions (direct):
Y (0.0000, 0.0000, 0.0000)
Y (0.0000, 0.5000, 0.5000)
Y (0.5000, 0.0000, 0.3125)
Y (0.5000, 0.5000, 0.8125)
Tl (0.0000, 0.0000, 0.7273)
Tl (0.0000, 0.5000, 0.2273)
Mo (0.5000, 0.0000, 0.5813)
Mo (0.5000, 0.5000, 0.0813)

***

*B*
Y2TlMo: relaxed, PBE-GGA.

* symmetry: C2/m, No. 12
* volume: 200.6 Å³/cell

Cell: 9.7809 3.2709 6.3438 Å, 90.00 98.81 90.00°
Positions (direct):
Y (0.2460, 0.0000, 0.2348)
Y (0.2540, 0.5000, 0.7652)
Y (0.7460, 0.5000, 0.2348)
Y (0.7540, 0.0000, 0.7652)
Tl (0.0000, 0.0000, 0.5000)
Tl (0.5000, 0.5000, 0.5000)
Mo (0.0000, 0.5000, 0.0000)
Mo (0.5000, 0.0000, 0.0000)

***

*C*
Y2TlMo: relaxed, PBE-GGA.

* symmetry: I-4m2, No. 119
* volume: 190.8 Å³/cell

Cell: 4.4741 4.4741 9.5334 Å, 90.00 90.00 90.00°
Positions (direct):
Y (0.0000, 0.0000, 0.0000)
Y (0.0000, 0.5000, 0.2500)
Y (0.5000, 0.0000, 0.7500)
Y (0.5000, 0.5000, 0.5000)
Tl (0.0000, 0.0000, 0.5000)
Tl (0.5000, 0.5000, 0.0000)
Mo (0.0000, 0.5000, 0.7500)
Mo (0.5000, 0.0000, 0.2500)

***

*D*
Y2TlMo: relaxed, PBE-GGA.

* symmetry: Fm-3m, No. 225
* volume: 386.4 Å³/cell

Cell: 7.2834 7.2834 7.2834 Å, 90.00 90.00 90.00°
Positions (direct):
Y (0.2500, 0.2500, 0.2500)
Y (0.2500, 0.2500, 0.7500)
Y (0.2500, 0.7500, 0.2500)
Y (0.2500, 0.7500, 0.7500)
Y (0.7500, 0.2500, 0.2500)
Y (0.7500, 0.2500, 0.7500)
Y (0.7500, 0.7500, 0.2500)
Y (0.7500, 0.7500, 0.7500)
Tl (0.0000, 0.0000, 0.0000)
Tl (0.0000, 0.5000, 0.5000)
Tl (0.5000, 0.0000, 0.5000)
Tl (0.5000, 0.5000, 0.0000)
Mo (0.0000, 0.0000, 0.5000)
Mo (0.0000, 0.5000, 0.0000)
Mo (0.5000, 0.0000, 0.0000)
Mo (0.5000, 0.5000, 0.5000)

***

Order of stability, best first: *D*, *A*, *C*, *B*

***

*A*
YTl2Mo: relaxed, PBE-GGA.

* symmetry: Immm, No. 71
* volume: 180.5 Å³/cell

Cell: 4.2910 4.7204 8.9118 Å, 90.00 90.00 90.00°
Positions (direct):
Y (0.0000, 0.0000, 0.0000)
Y (0.5000, 0.5000, 0.5000)
Tl (0.0000, 0.5000, 0.2442)
Tl (0.0000, 0.5000, 0.7558)
Tl (0.5000, 0.0000, 0.2558)
Tl (0.5000, 0.0000, 0.7442)
Mo (0.0000, 0.0000, 0.5000)
Mo (0.5000, 0.5000, 0.0000)

***

*B*
YTl2Mo: relaxed, PBE-GGA.

* symmetry: F-43m, No. 216
* volume: 397.6 Å³/cell

Cell: 7.3531 7.3531 7.3531 Å, 90.00 90.00 90.00°
Positions (direct):
Y (0.0000, 0.0000, 0.0000)
Y (0.0000, 0.5000, 0.5000)
Y (0.5000, 0.0000, 0.5000)
Y (0.5000, 0.5000, 0.0000)
Tl (0.0000, 0.0000, 0.5000)
Tl (0.0000, 0.5000, 0.0000)
Tl (0.2500, 0.2500, 0.2500)
Tl (0.2500, 0.7500, 0.7500)
Tl (0.5000, 0.0000, 0.0000)
Tl (0.5000, 0.5000, 0.5000)
Tl (0.7500, 0.2500, 0.7500)
Tl (0.7500, 0.7500, 0.2500)
Mo (0.2500, 0.2500, 0.7500)
Mo (0.2500, 0.7500, 0.2500)
Mo (0.7500, 0.2500, 0.2500)
Mo (0.7500, 0.7500, 0.7500)

***

*C*
YTl2Mo: relaxed, PBE-GGA.

* symmetry: P4/mmm, No. 123
* volume: 91.2 Å³/cell

Cell: 3.3348 3.3348 8.1971 Å, 90.00 90.00 90.00°
Positions (direct):
Y (0.0000, 0.0000, 0.0000)
Tl (0.5000, 0.5000, 0.2772)
Tl (0.5000, 0.5000, 0.7228)
Mo (0.0000, 0.0000, 0.5000)

***

*D*
YTl2Mo: relaxed, PBE-GGA.

* symmetry: Fm-3m, No. 225
* volume: 370.5 Å³/cell

Cell: 7.1826 7.1826 7.1826 Å, 90.00 90.00 90.00°
Positions (direct):
Y (0.0000, 0.0000, 0.0000)
Y (0.0000, 0.5000, 0.5000)
Y (0.5000, 0.0000, 0.5000)
Y (0.5000, 0.5000, 0.0000)
Tl (0.2500, 0.2500, 0.2500)
Tl (0.2500, 0.2500, 0.7500)
Tl (0.2500, 0.7500, 0.2500)
Tl (0.2500, 0.7500, 0.7500)
Tl (0.7500, 0.2500, 0.2500)
Tl (0.7500, 0.2500, 0.7500)
Tl (0.7500, 0.7500, 0.2500)
Tl (0.7500, 0.7500, 0.7500)
Mo (0.0000, 0.0000, 0.5000)
Mo (0.0000, 0.5000, 0.0000)
Mo (0.5000, 0.0000, 0.0000)
Mo (0.5000, 0.5000, 0.5000)

***

Order of stability, best first: *A*, *D*, *C*, *B*

***

*A*
YTl2Mo: relaxed, PBE-GGA.

* symmetry: C2/m, No. 12
* volume: 182.5 Å³/cell

Cell: 6.3244 8.6389 3.3396 Å, 90.00 90.17 90.00°
Positions (direct):
Y (0.0000, 0.0000, 0.0000)
Y (0.5000, 0.5000, 0.0000)
Tl (0.2500, 0.2500, 0.5000)
Tl (0.2500, 0.7500, 0.5000)
Tl (0.7500, 0.2500, 0.5000)
Tl (0.7500, 0.7500, 0.5000)
Mo (0.0000, 0.5000, 0.0000)
Mo (0.5000, 0.0000, 0.0000)

***

*B*
YTl2Mo: relaxed, PBE-GGA.

* symmetry: P4/mmm, No. 123
* volume: 90.9 Å³/cell

Cell: 4.4887 4.4887 4.5133 Å, 90.00 90.00 90.00°
Positions (direct):
Y (0.0000, 0.0000, 0.0000)
Tl (0.0000, 0.5000, 0.5000)
Tl (0.5000, 0.0000, 0.5000)
Mo (0.5000, 0.5000, 0.0000)

***

Order of stability, best first: *B*, *A*

***

*A*
YTl2Mo: relaxed, PBE-GGA.

* symmetry: R-3m, No. 166
* volume: 280.0 Å³/cell

Cell: 3.2696 3.2696 30.2440 Å, 90.00 90.00 120.00°
Positions (direct):
Y (0.0000, 0.0000, 0.0000)
Y (0.3333, 0.6667, 0.6667)
Y (0.6667, 0.3333, 0.3333)
Tl (0.0000, 0.0000, 0.2427)
Tl (0.0000, 0.0000, 0.7573)
Tl (0.3333, 0.6667, 0.4239)
Tl (0.3333, 0.6667, 0.9094)
Tl (0.6667, 0.3333, 0.0906)
Tl (0.6667, 0.3333, 0.5761)
Mo (0.0000, 0.0000, 0.5000)
Mo (0.3333, 0.6667, 0.1667)
Mo (0.6667, 0.3333, 0.8333)

***

*B*
YTl2Mo: relaxed, PBE-GGA.

* symmetry: P4mm, No. 99
* volume: 94.3 Å³/cell

Cell: 3.8411 3.8411 6.3929 Å, 90.00 90.00 90.00°
Positions (direct):
Y (0.0000, 0.0000, 0.0000)
Tl (0.0000, 0.0000, 0.4627)
Tl (0.5000, 0.5000, 0.7188)
Mo (0.5000, 0.5000, 0.2345)

***

Order of stability, best first: *B*, *A*

***

*A*
YTlMo: relaxed, PBE-GGA.

* symmetry: P3m1, No. 156
* volume: 70.9 Å³/cell

Cell: 3.3859 3.3859 7.1422 Å, 90.00 90.00 120.00°
Positions (direct):
Y (0.0000, 0.0000, 0.0000)
Tl (0.3333, 0.6667, 0.6188)
Mo (0.6667, 0.3333, 0.3097)

***

*B*
YTlMo: relaxed, PBE-GGA.

* symmetry: Fmm2, No. 42
* volume: 272.2 Å³/cell

Cell: 4.0122 4.8805 13.8998 Å, 90.00 90.00 90.00°
Positions (direct):
Y (0.0000, 0.0000, 0.0000)
Y (0.0000, 0.5000, 0.5000)
Y (0.5000, 0.0000, 0.5000)
Y (0.5000, 0.5000, 0.0000)
Tl (0.0000, 0.0000, 0.6894)
Tl (0.0000, 0.5000, 0.1894)
Tl (0.5000, 0.0000, 0.1894)
Tl (0.5000, 0.5000, 0.6894)
Mo (0.0000, 0.0000, 0.3422)
Mo (0.0000, 0.5000, 0.8422)
Mo (0.5000, 0.0000, 0.8422)
Mo (0.5000, 0.5000, 0.3422)

***

*C*
YTlMo: relaxed, PBE-GGA.

* symmetry: P-6m2, No. 187
* volume: 68.7 Å³/cell

Cell: 5.0080 5.0080 3.1621 Å, 90.00 90.00 120.00°
Positions (direct):
Y (0.0000, 0.0000, 0.0000)
Tl (0.3333, 0.6667, 0.5000)
Mo (0.6667, 0.3333, 0.5000)

***

*D*
YTlMo: relaxed, PBE-GGA.

* symmetry: I4mm, No. 107
* volume: 134.9 Å³/cell

Cell: 3.6725 3.6725 10.0048 Å, 90.00 90.00 90.00°
Positions (direct):
Y (0.0000, 0.0000, 0.0000)
Y (0.5000, 0.5000, 0.5000)
Tl (0.0000, 0.0000, 0.6908)
Tl (0.5000, 0.5000, 0.1908)
Mo (0.0000, 0.0000, 0.3269)
Mo (0.5000, 0.5000, 0.8269)

***

Order of stability, best first: *D*, *B*, *C*, *A*

***

*A*
TlZnMo3: relaxed, PBE-GGA.

* symmetry: Pm-3m, No. 221
* volume: 123.7 Å³/cell

Cell: 4.9825 4.9825 4.9825 Å, 90.00 90.00 90.00°
Positions (direct):
Tl (0.0000, 0.0000, 0.0000)
Zn (0.5000, 0.5000, 0.5000)
Mo (0.0000, 0.0000, 0.5000)
Mo (0.0000, 0.5000, 0.0000)
Mo (0.5000, 0.0000, 0.0000)

***

*B*
TlZnMo3: relaxed, PBE-GGA.

* symmetry: Pm-3m, No. 221
* volume: 98.3 Å³/cell

Cell: 4.6156 4.6156 4.6156 Å, 90.00 90.00 90.00°
Positions (direct):
Tl (0.0000, 0.0000, 0.0000)
Zn (0.5000, 0.5000, 0.5000)
Mo (0.0000, 0.5000, 0.5000)
Mo (0.5000, 0.0000, 0.5000)
Mo (0.5000, 0.5000, 0.0000)

***

Order of stability, best first: *B*, *A*

***

*A*
TlZn2Mo2: relaxed, PBE-GGA.

* symmetry: P4/mbm, No. 127
* volume: 179.5 Å³/cell

Cell: 7.1976 7.1976 3.4648 Å, 90.00 90.00 90.00°
Positions (direct):
Tl (0.0000, 0.0000, 0.0000)
Tl (0.5000, 0.5000, 0.0000)
Zn (0.1780, 0.3220, 0.5000)
Zn (0.3220, 0.8220, 0.5000)
Zn (0.6780, 0.1780, 0.5000)
Zn (0.8220, 0.6780, 0.5000)
Mo (0.1148, 0.6148, 0.0000)
Mo (0.3852, 0.1148, 0.0000)
Mo (0.6148, 0.8852, 0.0000)
Mo (0.8852, 0.3852, 0.0000)

***

*B*
TlZn2Mo2: relaxed, PBE-GGA.

* symmetry: I4/mmm, No. 139
* volume: 181.2 Å³/cell

Cell: 3.7573 3.7573 12.8375 Å, 90.00 90.00 90.00°
Positions (direct):
Tl (0.0000, 0.0000, 0.0000)
Tl (0.5000, 0.5000, 0.5000)
Zn (0.0000, 0.5000, 0.2500)
Zn (0.0000, 0.5000, 0.7500)
Zn (0.5000, 0.0000, 0.2500)
Zn (0.5000, 0.0000, 0.7500)
Mo (0.0000, 0.0000, 0.4059)
Mo (0.0000, 0.0000, 0.5941)
Mo (0.5000, 0.5000, 0.0941)
Mo (0.5000, 0.5000, 0.9059)

***

Order of stability, best first: *A*, *B*